<1>
H2IrSe (PBE, optimized geometry); mass density = 7.97 g/cm3; DOS at the Fermi energy = 1.5 states/eV per cell; space group = Amm2
1.0
4.677 -0.049 0.000
-2.295 4.472 0.000
0.000 0.000 2.738
H Ir Se
2 1 1
direct
0.670 0.546 0.500 H
0.417 0.042 0.500 H
0.543 0.293 0.000 Ir
0.960 0.127 0.000 Se

<2>
H2IrSe (PBE, optimized geometry); mass density = 10.16 g/cm3; DOS at the Fermi energy = 3.9 states/eV per cell; space group = I-42d
1.0
5.654 0.000 0.000
0.000 5.654 0.000
2.827 2.827 2.794
H Ir Se
4 2 2
direct
0.756 0.125 0.250 H
0.994 0.625 0.250 H
0.375 0.244 0.750 H
0.875 0.006 0.750 H
0.000 0.000 0.000 Ir
0.750 0.250 0.500 Ir
0.500 0.500 0.000 Se
0.250 0.750 0.500 Se

<3>
H2IrSe (PBE, optimized geometry); mass density = 11.36 g/cm3; DOS at the Fermi energy = 1.4 states/eV per cell; space group = Fm-3m
1.0
0.000 2.713 2.713
2.713 0.000 2.713
2.713 2.713 0.000
H Ir Se
2 1 1
direct
0.250 0.250 0.250 H
0.750 0.750 0.750 H
0.500 0.500 0.500 Ir
0.000 0.000 0.000 Se

<1> comes first in stability; the runner-up is 36.4 kJ/mol of atoms higher.